Record 1
Compound: Pm2EuMg
Source: Alexandria via LeMat-Bulk
Functional: GGA-PBE
Structure: relaxed

Cell and atoms, written as extended XYZ:
```
4
Lattice="3.849 0.000 0.000 0.000 3.849 0.000 0.000 0.000 8.995" Properties=species:S:1:pos:R:3 pbc="T T T"
Pm 0.000 0.000 1.882
Pm 0.000 0.000 7.112
Eu 1.925 1.925 4.497
Mg 1.925 1.925 0.000
```

crystal system = tetragonal
distance to the lowest polymorph of the same formula = 0.0 meV per atom
symmetry = P4/mmm (123)

---

Record 2
Compound: PmEuMg
Source: Alexandria via LeMat-Bulk
Functional: GGA-PBE
Structure: relaxed

Cell and atoms, written as extended XYZ:
```
3
Lattice="5.658 0.000 0.000 -2.829 4.900 0.000 0.000 0.000 3.472" Properties=species:S:1:pos:R:3 pbc="T T T"
Pm 0.000 0.000 0.000
Eu 2.829 1.633 1.361
Mg 0.000 3.267 2.335
```

crystal system = trigonal
distance to the lowest polymorph of the same formula = 76.7 meV per atom
symmetry = P3m1 (156)

---

Record 3
Compound: PmEu2Mg
Source: Alexandria via LeMat-Bulk
Functional: GGA-PBE
Structure: relaxed

Cell and atoms, written as extended XYZ:
```
4
Lattice="5.141 0.000 0.000 0.000 5.141 0.000 0.000 0.000 5.231" Properties=species:S:1:pos:R:3 pbc="T T T"
Pm 0.000 0.000 0.000
Eu 0.000 2.571 2.616
Eu 2.571 0.000 2.616
Mg 2.571 2.571 0.000
```

crystal system = tetragonal
distance to the lowest polymorph of the same formula = 37.7 meV per atom
symmetry = P4/mmm (123)

---

Record 4
Compound: Pm2EuMg
Source: Alexandria via LeMat-Bulk
Functional: GGA-PBE
Structure: relaxed

Cell and atoms, written as extended XYZ:
```
4
Lattice="0.000 4.021 4.021 4.021 0.000 4.021 4.021 4.021 0.000" Properties=species:S:1:pos:R:3 pbc="T T T"
Pm 2.010 2.010 2.010
Pm 6.031 6.031 6.031
Eu 0.000 0.000 0.000
Mg 4.021 4.021 4.021
```

crystal system = cubic
distance to the lowest polymorph of the same formula = 52.8 meV per atom
symmetry = Fm-3m (225)

---

Record 5
Compound: PmEuMgPt
Source: Alexandria via LeMat-Bulk
Functional: GGA-PBE
Structure: relaxed

Cell and atoms, written as extended XYZ:
```
4
Lattice="0.000 3.703 3.703 3.703 0.000 3.703 3.703 3.703 0.000" Properties=species:S:1:pos:R:3 pbc="T T T"
Pm 0.000 0.000 0.000
Eu 3.703 3.703 3.703
Mg 1.851 1.851 1.851
Pt 5.554 5.554 5.554
```

crystal system = cubic
symmetry = F-43m (216)

---

Record 6
Compound: PmEuMgRu
Source: Alexandria via LeMat-Bulk
Functional: GGA-PBE
Structure: relaxed

Cell and atoms, written as extended XYZ:
```
4
Lattice="0.000 3.641 3.641 3.641 0.000 3.641 3.641 3.641 0.000" Properties=species:S:1:pos:R:3 pbc="T T T"
Pm 0.000 0.000 0.000
Eu 3.641 3.641 3.641
Mg 5.462 5.462 5.462
Ru 1.821 1.821 1.821
```

crystal system = cubic
symmetry = F-43m (216)

---

Record 7
Compound: PmEuMgSc
Source: Alexandria via LeMat-Bulk
Functional: GGA-PBE
Structure: relaxed

Cell and atoms, written as extended XYZ:
```
4
Lattice="0.000 3.916 3.916 3.916 0.000 3.916 3.916 3.916 0.000" Properties=species:S:1:pos:R:3 pbc="T T T"
Pm 0.000 0.000 0.000
Eu 3.916 3.916 3.916
Mg 5.874 5.874 5.874
Sc 1.958 1.958 1.958
```

crystal system = cubic
symmetry = F-43m (216)

---

Record 8
Compound: PmSmEuMg
Source: Alexandria via LeMat-Bulk
Functional: GGA-PBE
Structure: relaxed

Cell and atoms, written as extended XYZ:
```
4
Lattice="0.000 4.013 4.013 4.013 0.000 4.013 4.013 4.013 0.000" Properties=species:S:1:pos:R:3 pbc="T T T"
Pm 0.000 0.000 0.000
Sm 4.013 4.013 4.013
Eu 2.007 2.007 2.007
Mg 6.020 6.020 6.020
```

crystal system = cubic
symmetry = F-43m (216)

---

Record order is preserved below.
Formation energy from the elements: -0.0046 0.0553 0.0594 0.0482 -0.4797 0.0148 0.0736 0.0520 eV/atom